[1]
VASP calculation (PBE) on a relaxed structure of LiMg4Bi.

Cell lengths 8.409, 8.409, 8.409 Å; angles 90.00, 90.00, 90.00 degrees
Space group F-43m (No. 216)
One atom of each set of equivalent atoms:
Li 0.000 0.000 0.000
Mg 0.125 0.125 0.375
Bi 0.250 0.250 0.750

Calculated values
energy of formation	0.0	eV per formula unit
calculated total energy	-12.1	eV/f.u.
spin magnetization	0.0	Bohr magnetons per cell
D(E_F)	13.345	states/eV/cell

[2]
VASP calculation (PBE) on a relaxed structure of LiMg14Bi.

Cell lengths 10.405, 6.303, 11.304 Å; angles 90.00, 90.00, 90.00 degrees
Space group Amm2 (No. 38)
One atom of each set of equivalent atoms:
Li 0.000 0.000 0.000
Mg 0.000 0.249 0.248
Mg 0.248 0.000 0.164
Mg 0.251 0.246 0.914
Mg 0.252 0.000 0.669
Mg 0.500 0.000 0.003
Mg 0.500 0.000 0.504
Mg 0.500 0.249 0.253
Bi 0.000 0.000 0.499

Calculated values
energy of formation	-0.5	eV per formula unit
calculated total energy	-28.7	eV/f.u.
distance to the lowest polymorph of the same formula	0.0	meV/atom
spin magnetization	0.0	Bohr magnetons per cell
D(E_F)	15.771	states/eV/cell

[3]
VASP calculation (PBE) on a relaxed structure of Li2Mg3Bi3.

Cell lengths 8.7146, 8.7146, 6.4231 Å; angles 90.00, 90.00, 120.00 degrees
Space group P6_3/mcm (No. 193)
One atom of each set of equivalent atoms:
Li 0.3333 0.6667 0.0000
Mg 0.0000 0.2991 0.2500
Bi 0.0000 0.3591 0.7500

Calculated values
energy of formation	-2.1	eV per formula unit
calculated total energy	-22.3	eV/f.u.
spin magnetization	0.0	Bohr magnetons per cell
D(E_F)	6.044	states/eV/cell

Question: Among the records above, which one has the lowest D(E_F)?
Answer: Li2Mg3Bi3

Question: Among the records above, which one has the highest calculated total energy?
Answer: LiMg4Bi

Question: Which formula does entry 1 have?
Answer: LiMg4Bi